1.
Compound: Tm2FeCu
Source: the Alexandria database
Functional: PBE
Structure: optimized geometry

Values from the calculation:
Fermi-level density of states: 2.65 states/eV per cell
Magnetization: 0.00 μB/cell
Total energy: -21.936 eV per cell

a = 3.301 Å, b = 3.301 Å, c = 6.878 Å
α = 90.00°, β = 90.00°, γ = 90.00°
Positions (direct):
Fe1 0.500 0.500 0.000
Cu1 0.500 0.500 0.500
Tm1 0.000 0.000 0.233
Tm2 0.000 0.000 0.767



2.
Compound: Rb4Au2S
Source: the Alexandria database
Functional: PBE
Structure: optimized geometry

Values from the calculation:
Magnetization: 0.00 μB/cell
Total energy: -18.030 eV per cell

a = 6.268 Å, b = 6.268 Å, c = 10.076 Å
α = 108.12°, β = 108.12°, γ = 90.00°
Positions (direct):
Rb1 0.827 0.827 0.654
Rb2 0.000 0.500 0.000
Rb3 0.173 0.173 0.346
Rb4 0.500 0.000 0.000
Au1 0.637 0.637 0.274
Au2 0.363 0.363 0.726
S1 0.000 0.000 0.000



3.
Compound: HgC2
Source: the Alexandria database
Functional: PBE
Structure: optimized geometry

Values from the calculation:
Fermi-level density of states: 1.68 states/eV per cell
Magnetization: 0.00 μB/cell
Relative energy among the computed polymorphs: 1.0452 eV per atom

a = 3.041 Å, b = 3.041 Å, c = 8.241 Å
α = 90.00°, β = 90.00°, γ = 90.00°
Positions (direct):
C1 0.000 0.500 0.083
C2 0.500 0.500 0.000
C3 0.000 0.000 0.000
C4 0.500 0.000 0.917
Hg1 0.000 0.500 0.361
Hg2 0.500 0.000 0.639



4.
Compound: PmPb2Au
Source: the Alexandria database
Functional: PBE
Structure: optimized geometry

Values from the calculation:
Fermi-level density of states: 3.21 states/eV per cell
Magnetization: 0.00 μB/cell
Relative energy among the computed polymorphs: 0.5333 eV per atom

a = 3.597 Å, b = 3.597 Å, c = 10.924 Å
α = 80.52°, β = 80.52°, γ = 60.00°
Positions (direct):
Pm1 0.000 0.000 0.000
Pb1 0.100 0.100 0.699
Pb2 0.900 0.900 0.301
Au1 0.500 0.500 0.500



5.
Compound: Ac3Pr2NdS6
Source: the Alexandria database
Functional: PBE
Structure: optimized geometry

Values from the calculation:
Fermi-level density of states: 5.72 states/eV per cell
Magnetization: 0.00 μB/cell
Total energy: -75.592 eV per cell

a = 7.272 Å, b = 7.272 Å, c = 7.280 Å
α = 99.61°, β = 99.61°, γ = 120.08°
Positions (direct):
Nd1 0.000 0.000 0.000
Ac1 0.167 0.833 0.500
Ac2 0.500 0.500 0.500
Ac3 0.833 0.167 0.500
Pr1 0.667 0.333 0.000
Pr2 0.333 0.667 0.000
S1 0.590 0.921 0.763
S2 0.410 0.079 0.237
S3 0.748 0.748 0.238
S4 0.079 0.410 0.237
S5 0.921 0.590 0.763
S6 0.252 0.252 0.762



6.
Compound: CeSb2Ru
Source: the Alexandria database
Functional: PBE
Structure: optimized geometry

Values from the calculation:
Fermi-level density of states: 5.50 states/eV per cell
Magnetization: 0.03 μB/cell
Total energy: -22.532 eV per cell

a = 3.204 Å, b = 3.204 Å, c = 10.708 Å
α = 81.40°, β = 81.40°, γ = 60.00°
Positions (direct):
Ru1 0.000 0.000 0.000
Sb1 0.920 0.920 0.241
Sb2 0.080 0.080 0.759
Ce1 0.500 0.500 0.500



7.
Compound: LaZr2Co9
Source: the Alexandria database
Functional: PBE
Structure: optimized geometry

Values from the calculation:
Fermi-level density of states: 16.93 states/eV per cell
Magnetization: 9.29 μB/cell
Total energy: -88.194 eV per cell

a = 4.942 Å, b = 4.942 Å, c = 8.479 Å
α = 73.06°, β = 73.06°, γ = 60.00°
Positions (direct):
Co1 0.411 0.411 0.257
Co2 0.411 0.921 0.257
Co3 0.500 0.500 0.500
Co4 0.921 0.411 0.257
Co5 0.589 0.589 0.743
Co6 0.589 0.079 0.743
Co7 0.079 0.589 0.743
Co8 0.664 0.664 0.008
Co9 0.336 0.336 0.992
La1 0.000 0.000 0.000
Zr1 0.860 0.860 0.421
Zr2 0.140 0.140 0.579



8.
Compound: Cs2KPtBr
Source: the Alexandria database
Functional: PBE
Structure: optimized geometry

Values from the calculation:
Magnetization: 0.00 μB/cell
Total energy: -13.538 eV per cell

a = 6.579 Å, b = 6.579 Å, c = 6.054 Å
α = 90.00°, β = 90.00°, γ = 90.00°
Positions (direct):
Pt1 0.000 0.000 0.000
K1 0.000 0.000 0.500
Cs1 0.500 0.000 0.000
Cs2 0.000 0.500 0.000
Br1 0.500 0.500 0.500



9.
Compound: Pm2Ho4Se9
Source: the Alexandria database
Functional: PBE
Structure: optimized geometry

Values from the calculation:
Fermi-level density of states: 0.00 states/eV per cell
Magnetization: 0.00 μB/cell
Total energy: -173.719 eV per cell

a = 7.256 Å, b = 7.255 Å, c = 19.525 Å
α = 90.00°, β = 90.00°, γ = 60.00°
Positions (direct):
Ho1 0.667 0.667 0.818
Ho2 0.667 0.667 0.513
Ho3 0.667 0.667 0.013
Ho4 0.333 0.333 0.182
Ho5 0.666 0.667 0.318
Ho6 0.334 0.333 0.682
Ho7 0.333 0.333 0.487
Ho8 0.333 0.333 0.987
Se1 0.310 0.690 0.750
Se2 0.628 0.346 0.584
Se3 0.310 0.000 0.250
Se4 0.026 0.346 0.084
Se5 0.974 0.372 0.416
Se6 0.974 0.654 0.916
Se7 0.373 0.974 0.916
Se8 0.372 0.654 0.416
Se9 0.000 0.690 0.250
Se10 0.654 0.974 0.416
Se11 0.627 0.026 0.084
Se12 0.654 0.372 0.916
Se13 0.026 0.628 0.584
Se14 0.690 0.310 0.250
Se15 0.346 0.026 0.584
Se16 0.000 0.310 0.750
Se17 0.690 0.000 0.750
Se18 0.346 0.628 0.084
Pm1 0.000 0.000 0.149
Pm2 0.000 0.000 0.851
Pm3 0.000 0.000 0.351
Pm4 0.000 0.000 0.649



10.
Compound: TcRh
Source: the Alexandria database
Functional: PBE
Structure: optimized geometry

Values from the calculation:
Fermi-level density of states: 4.04 states/eV per cell
Magnetization: 0.00 μB/cell
Relative energy among the computed polymorphs: 0.4264 eV per atom

a = 4.355 Å, b = 4.355 Å, c = 4.355 Å
α = 60.00°, β = 60.00°, γ = 60.00°
Positions (direct):
Tc1 0.500 0.500 0.500
Tc2 0.250 0.250 0.250
Rh1 0.000 0.000 0.000
Rh2 0.750 0.750 0.750



11.
Compound: CaZrSi
Source: the Alexandria database
Functional: PBE
Structure: optimized geometry

Values from the calculation:
Fermi-level density of states: 2.53 states/eV per cell
Magnetization: 0.00 μB/cell
Total energy: -16.291 eV per cell

a = 4.713 Å, b = 4.713 Å, c = 4.713 Å
α = 60.00°, β = 60.00°, γ = 60.00°
Positions (direct):
Zr1 0.000 0.000 0.000
Si1 0.750 0.750 0.750
Ca1 0.500 0.500 0.500



12.
Compound: MgAlMo
Source: the Alexandria database
Functional: PBE
Structure: optimized geometry

Values from the calculation:
Fermi-level density of states: 3.09 states/eV per cell
Magnetization: 0.00 μB/cell
Relative energy among the computed polymorphs: 0.0000 eV per atom

a = 7.145 Å, b = 7.011 Å, c = 2.778 Å
α = 81.42°, β = 75.97°, γ = 22.61°
Positions (direct):
Mg1 0.670 0.670 0.330
Mo1 0.339 0.339 0.661
Al1 0.991 0.991 0.009